# 1
Here is crystalline ZrPa2Os at its relaxed geometry from Alexandria via LeMat-Bulk. Energies are from GGA-PBE.

Summary:
As for the energy of formation: 248 meV per atom. Its crystal system is trigonal.

The structure in CIF format:
```
data_ZrPa2Os
_symmetry_space_group_name_H-M 'R -3 m'
_symmetry_Int_Tables_number 166
_symmetry_space_group_name_Hall '-R 3 2"'
_cell_length_a 3.0664
_cell_length_b 3.0664
_cell_length_c 32.2522
_cell_angle_alpha 90.00
_cell_angle_beta 90.00
_cell_angle_gamma 120.00
loop_
_atom_site_label
_atom_site_type_symbol
_atom_site_fract_x
_atom_site_fract_y
_atom_site_fract_z
Zr1 Zr 0.0000 0.0000 0.0000
Pa1 Pa 0.0000 0.0000 0.0937
Os1 Os 0.0000 0.0000 0.5000
```



# 2
Here is crystalline CdInW at its relaxed geometry from Alexandria via LeMat-Bulk. Energies are from GGA-PBE.

Summary:
As for the energy of formation: 1163 meV per atom. For the offset from the most stable computed form, the calculation gives 907.0 meV/atom. Its crystal system is cubic.

The structure in CIF format:
```
data_CdInW
_symmetry_space_group_name_H-M 'F -4 3 m'
_symmetry_Int_Tables_number 216
_symmetry_space_group_name_Hall 'F -4 2 3'
_cell_length_a 6.595
_cell_length_b 6.595
_cell_length_c 6.595
_cell_angle_alpha 90.00
_cell_angle_beta 90.00
_cell_angle_gamma 90.00
loop_
_atom_site_label
_atom_site_type_symbol
_atom_site_fract_x
_atom_site_fract_y
_atom_site_fract_z
Cd1 Cd 0.000 0.000 0.000
In1 In 0.000 0.000 0.500
W1 W 0.250 0.250 0.250
```



# 3
Here is crystalline NaCd2Pd3 at its relaxed geometry from Alexandria via LeMat-Bulk. Energies are from GGA-PBE.

Summary:
As for the energy of formation: -283 meV per atom. For the offset from the most stable computed form, the calculation gives 12.0 meV/atom. Its crystal system is tetragonal.

The structure in CIF format:
```
data_NaCd2Pd3
_symmetry_space_group_name_H-M 'P 4/m m m'
_symmetry_Int_Tables_number 123
_symmetry_space_group_name_Hall '-P 4 2'
_cell_length_a 3.116
_cell_length_b 3.116
_cell_length_c 11.177
_cell_angle_alpha 90.00
_cell_angle_beta 90.00
_cell_angle_gamma 90.00
loop_
_atom_site_label
_atom_site_type_symbol
_atom_site_fract_x
_atom_site_fract_y
_atom_site_fract_z
Na1 Na 0.000 0.000 0.000
Cd1 Cd 0.000 0.000 0.338
Pd1 Pd 0.500 0.500 0.184
Pd2 Pd 0.500 0.500 0.500
```



# 4
Here is crystalline Zr2MnCu at its relaxed geometry from Alexandria via LeMat-Bulk. Energies are from GGA-PBE.

Summary:
As for the energy of formation: -104 meV per atom. For the offset from the most stable computed form, the calculation gives 0.0 meV/atom. Its crystal system is monoclinic.

The structure in CIF format:
```
data_Zr2MnCu
_symmetry_space_group_name_H-M 'P 1 2/m 1'
_symmetry_Int_Tables_number 10
_symmetry_space_group_name_Hall '-P 2y'
_cell_length_a 3.232
_cell_length_b 3.233
_cell_length_c 6.493
_cell_angle_alpha 90.00
_cell_angle_beta 90.08
_cell_angle_gamma 90.00
loop_
_atom_site_label
_atom_site_type_symbol
_atom_site_fract_x
_atom_site_fract_y
_atom_site_fract_z
Zr1 Zr 0.001 0.000 0.262
Mn1 Mn 0.500 0.500 0.500
Cu1 Cu 0.500 0.500 0.000
```



# 5
Here is crystalline RbOs3I at its relaxed geometry from Alexandria via LeMat-Bulk. Energies are from GGA-PBE.

Summary:
For the offset from the most stable computed form, the calculation gives 1491.7 meV/atom. Its crystal system is cubic.

The structure in CIF format:
```
data_RbOs3I
_symmetry_space_group_name_H-M 'P m -3 m'
_symmetry_Int_Tables_number 221
_symmetry_space_group_name_Hall '-P 4 2 3'
_cell_length_a 5.048
_cell_length_b 5.048
_cell_length_c 5.048
_cell_angle_alpha 90.00
_cell_angle_beta 90.00
_cell_angle_gamma 90.00
loop_
_atom_site_label
_atom_site_type_symbol
_atom_site_fract_x
_atom_site_fract_y
_atom_site_fract_z
Rb1 Rb 0.000 0.000 0.000
Os1 Os 0.000 0.000 0.500
I1 I 0.500 0.500 0.500
```



# 6
Here is crystalline NaPaH2 at its relaxed geometry from Alexandria via LeMat-Bulk. Energies are from GGA-PBE.

Summary:
The uncorrected energy comes out at -53.3 eV per cell. Its crystal system is trigonal.

The structure in CIF format:
```
data_NaPaH2
_symmetry_space_group_name_H-M 'R -3 m'
_symmetry_Int_Tables_number 166
_symmetry_space_group_name_Hall '-R 3 2"'
_cell_length_a 3.3059
_cell_length_b 3.3059
_cell_length_c 20.4205
_cell_angle_alpha 90.00
_cell_angle_beta 90.00
_cell_angle_gamma 120.00
loop_
_atom_site_label
_atom_site_type_symbol
_atom_site_fract_x
_atom_site_fract_y
_atom_site_fract_z
Na1 Na 0.0000 0.0000 0.0000
Pa1 Pa 0.0000 0.0000 0.5000
H1 H 0.0000 0.0000 0.1080
```



# 7
Here is crystalline Pu2FePb at its relaxed geometry from Alexandria via LeMat-Bulk. Energies are from GGA-PBE.

Summary:
As for the energy of formation: -54 meV per atom. For the offset from the most stable computed form, the calculation gives 0.0 meV/atom. Its crystal system is tetragonal.

The structure in CIF format:
```
data_Pu2FePb
_symmetry_space_group_name_H-M 'P 4/m m m'
_symmetry_Int_Tables_number 123
_symmetry_space_group_name_Hall '-P 4 2'
_cell_length_a 3.239
_cell_length_b 3.239
_cell_length_c 8.807
_cell_angle_alpha 90.00
_cell_angle_beta 90.00
_cell_angle_gamma 90.00
loop_
_atom_site_label
_atom_site_type_symbol
_atom_site_fract_x
_atom_site_fract_y
_atom_site_fract_z
Pu1 Pu 0.000 0.000 0.196
Fe1 Fe 0.500 0.500 0.000
Pb1 Pb 0.500 0.500 0.500
```



# 8
Here is crystalline Nd2ScPd2 at its relaxed geometry from Alexandria via LeMat-Bulk. Energies are from GGA-PBE.

Summary:
As for the energy of formation: -645 meV per atom. Its crystal system is tetragonal.

The structure in CIF format:
```
data_Nd2ScPd2
_symmetry_space_group_name_H-M 'P 4/m b m'
_symmetry_Int_Tables_number 127
_symmetry_space_group_name_Hall '-P 4 2ab'
_cell_length_a 7.711
_cell_length_b 7.711
_cell_length_c 4.118
_cell_angle_alpha 90.00
_cell_angle_beta 90.00
_cell_angle_gamma 90.00
loop_
_atom_site_label
_atom_site_type_symbol
_atom_site_fract_x
_atom_site_fract_y
_atom_site_fract_z
Nd1 Nd 0.173 0.327 0.000
Sc1 Sc 0.000 0.000 0.500
Pd1 Pd 0.131 0.631 0.500
```



# 9
Here is crystalline AlAgS3 at its relaxed geometry from Alexandria via LeMat-Bulk. Energies are from GGA-PBE.

Summary:
For the offset from the most stable computed form, the calculation gives 0.0 meV/atom. Its crystal system is cubic.

The structure in CIF format:
```
data_AlAgS3
_symmetry_space_group_name_H-M 'P m -3 m'
_symmetry_Int_Tables_number 221
_symmetry_space_group_name_Hall '-P 4 2 3'
_cell_length_a 4.646
_cell_length_b 4.646
_cell_length_c 4.646
_cell_angle_alpha 90.00
_cell_angle_beta 90.00
_cell_angle_gamma 90.00
loop_
_atom_site_label
_atom_site_type_symbol
_atom_site_fract_x
_atom_site_fract_y
_atom_site_fract_z
Al1 Al 0.000 0.000 0.000
Ag1 Ag 0.500 0.500 0.500
S1 S 0.000 0.000 0.500
```



# 10
Here is crystalline Tb4Pr2HoSc at its relaxed geometry from Alexandria via LeMat-Bulk. Energies are from GGA-PBE.

Summary:
As for the energy of formation: 36 meV per atom. Its crystal system is tetragonal.

The structure in CIF format:
```
data_Tb4Pr2HoSc
_symmetry_space_group_name_H-M 'P 4/m m m'
_symmetry_Int_Tables_number 123
_symmetry_space_group_name_Hall '-P 4 2'
_cell_length_a 5.041
_cell_length_b 5.041
_cell_length_c 10.037
_cell_angle_alpha 90.00
_cell_angle_beta 90.00
_cell_angle_gamma 90.00
loop_
_atom_site_label
_atom_site_type_symbol
_atom_site_fract_x
_atom_site_fract_y
_atom_site_fract_z
Tb1 Tb 0.000 0.500 0.246
Pr1 Pr 0.000 0.000 0.000
Pr2 Pr 0.500 0.500 0.500
Ho1 Ho 0.000 0.000 0.500
Sc1 Sc 0.500 0.500 0.000
```



The evaluated D(E_F) for the records listed, in turn: 5.34 4.12 1.34 3.97 8.34 4.06 11.16 5.31 4.01 11.93 states/eV/f.u..